Entry 1:
The following is a DFT calculation (PBE) of crystalline TbNiPd at its relaxed geometry.

Properties
E_tot   -5.63 eV per atom
ΔH_f (0 K)   -427 meV/atom

abc: 3.4629 3.4629 5.1230
angles: 109.75 109.75 90.00
Atoms (fractional coordinates):
Ni 0.9434 0.9434 0.8867
Pd 0.2934 0.2934 0.5868
Tb 0.6132 0.6132 0.2265



Entry 2:
The following is a DFT calculation (PBE) of crystalline Tb5Ni2Pd at its relaxed geometry.

Properties
E_tot   -5.42 eV per atom
ΔH_f (0 K)   -437 meV/atom

abc: 7.5456 7.5456 8.4753
angles: 116.43 116.43 90.00
Atoms (fractional coordinates):
Tb 0.8034 0.9742 0.2776
Ni 0.6257 0.1257 0.0000
Tb 0.0000 0.0000 0.0000
Ni 0.8743 0.6257 0.0000
Ni 0.3743 0.8743 0.0000
Tb 0.1966 0.0258 0.7224
Pd 0.2500 0.2500 0.5000
Tb 0.5258 0.6966 0.7224
Tb 0.6966 0.1966 0.7224
Pd 0.7500 0.7500 0.5000
Tb 0.9742 0.4742 0.2776
Tb 0.3034 0.8034 0.2776
Tb 0.0258 0.5258 0.7224
Tb 0.4742 0.3034 0.2776
Ni 0.1257 0.3743 0.0000
Tb 0.5000 0.5000 0.0000



Entry 3:
The following is a DFT calculation (PBE) of crystalline Tb6Ni2Pd at its relaxed geometry.

Properties
E_tot   -5.34 eV per atom
ΔH_f (0 K)   -391 meV/atom

abc: 8.3031 8.3031 8.3031
angles: 106.85 108.48 113.16
Atoms (fractional coordinates):
Tb 0.8032 0.7816 0.5848
Ni 0.5000 0.3704 0.8704
Ni 0.5000 0.6296 0.1296
Pd 0.0000 0.0000 0.0000
Tb 0.8825 0.7028 0.1798
Pd 0.0000 0.5000 0.5000
Tb 0.1968 0.7816 0.9784
Tb 0.1968 0.2184 0.4152
Tb 0.8032 0.2184 0.0216
Tb 0.5230 0.7028 0.8202
Tb 0.2954 0.6231 0.3277
Tb 0.4770 0.2972 0.1798
Tb 0.7046 0.0323 0.3277
Ni 0.6354 0.0000 0.6354
Ni 0.3646 0.0000 0.3646
Tb 0.7046 0.3769 0.6723
Tb 0.2954 0.9677 0.6723
Tb 0.1175 0.2972 0.8202



Entry 4:
The following is a DFT calculation (PBE) of crystalline TbNiPd2 at its relaxed geometry.

Properties
E_tot   -5.83 eV per atom
ΔH_f (0 K)   -629 meV/atom
Energy above the lowest structure with this stoichiometry   0.00 eV per formula unit

abc: 4.0039 4.0871 4.0871
angles: 90.00 90.00 90.00
Site moments in Bohr magnetons follow the coordinates.
Atoms (fractional coordinates):
Tb 0.5000 0.5000 0.5000  -0.01
Ni 0.5000 0.0000 0.0000  0.34
Pd 0.0000 0.5000 0.0000  0.04
Pd 0.0000 0.0000 0.5000  0.04



Entry 5:
The following is a DFT calculation (PBE) of crystalline Tb2Ni9Pd at its relaxed geometry.

Properties
E_tot   -5.74 eV per atom
ΔH_f (0 K)   -196 meV/atom

abc: 4.9211 4.9211 8.4516
angles: 73.07 73.07 60.00
Site moments in Bohr magnetons follow the coordinates.
Atoms (fractional coordinates):
Ni 0.5000 0.5000 0.5000  0.21
Tb 0.8673 0.8673 0.3981  -0.10
Tb 0.1327 0.1327 0.6019  -0.10
Ni 0.3330 0.3330 0.0009  0.55
Ni 0.9197 0.4184 0.2436  0.34
Ni 0.4184 0.9197 0.2436  0.34
Pd 0.0000 0.0000 0.0000  0.05
Ni 0.4184 0.4184 0.2436  0.34
Ni 0.5816 0.0803 0.7564  0.34
Ni 0.6670 0.6670 0.9991  0.55
Ni 0.5816 0.5816 0.7564  0.34
Ni 0.0803 0.5816 0.7564  0.34



Entry 6:
The following is a DFT calculation (PBE) of crystalline Tb3Ni7Pd2 at its relaxed geometry.

Properties
E_tot   -5.87 eV per atom
ΔH_f (0 K)   -471 meV/atom

abc: 5.0477 5.0477 8.8705
angles: 73.47 73.47 60.00
Atoms (fractional coordinates):
Pd 0.3328 0.3328 0.0015
Ni 0.4127 0.9142 0.2604
Ni 0.5873 0.5873 0.7396
Pd 0.6672 0.6672 0.9985
Tb 0.0000 0.0000 0.0000
Tb 0.8605 0.8605 0.4184
Tb 0.1395 0.1395 0.5816
Ni 0.9142 0.4127 0.2604
Ni 0.4127 0.4127 0.2604
Ni 0.0858 0.5873 0.7396
Ni 0.5000 0.5000 0.5000
Ni 0.5873 0.0858 0.7396



Entry 7:
The following is a DFT calculation (PBE) of crystalline Tb8Ni2Pd at its relaxed geometry.

Properties
E_tot   -5.09 eV per atom
ΔH_f (0 K)   -200 meV/atom
Energy above the lowest structure with this stoichiometry   1.00 eV per formula unit

abc: 5.8435 7.5835 7.5835
angles: 113.98 99.42 99.42
Atoms (fractional coordinates):
Tb 0.8085 0.6326 0.6326
Tb 0.3904 0.6627 0.9214
Tb 0.9898 0.2247 0.7810
Ni 0.4918 0.7003 0.3062
Tb 0.9898 0.7810 0.2247
Tb 0.5805 0.0836 0.3429
Tb 0.5805 0.3429 0.0836
Pd 0.1126 0.0048 0.0048
Ni 0.4918 0.3062 0.7003
Tb 0.3904 0.9214 0.6627
Tb 0.1734 0.3736 0.3736



Entry 8:
The following is a DFT calculation (PBE) of crystalline Tb7Ni2Pd2 at its relaxed geometry.

Properties
E_tot   -5.24 eV per atom
ΔH_f (0 K)   -297 meV/atom

abc: 6.6212 6.8546 6.6212
angles: 90.00 109.78 90.00
Atoms (fractional coordinates):
Ni 0.7083 0.0000 0.2917
Tb 0.5002 0.7474 0.4998
Tb 0.0000 0.0000 0.0000
Tb 0.4997 0.2581 0.0002
Tb 0.0002 0.7419 0.4997
Tb 0.9998 0.2581 0.5003
Tb 0.4998 0.2526 0.5002
Ni 0.2917 0.0000 0.7083
Pd 0.8132 0.5000 0.8132
Tb 0.5003 0.7419 0.9998
Pd 0.1868 0.5000 0.1868